No. 1
Li2Tl: optimized geometry, PBE.

Computed properties:
- Raw total energy: -2.1391 eV/atom
- Formation energy from the elements: -7 kJ/mol of atoms

Cell: 3.3580 3.3580 7.0035 Å, 90.00 90.00 120.00°
Positions (direct):
Tl 0.0000 0.0000 0.0000
Li 0.6667 0.3333 0.3244
Li 0.3333 0.6667 0.6756

***

No. 2
YIrN2: optimized geometry, PBE.

Computed properties:
- Raw total energy: -7.7836 eV/atom
- E_form (uncorrected): 0.210 eV/atom

Cell: 4.0709 4.0709 4.0709 Å, 60.00 60.00 60.00°
Positions (direct):
Y 0.0000 0.0000 0.0000
N 0.7500 0.7500 0.7500
N 0.2500 0.2500 0.2500
Ir 0.5000 0.5000 0.5000

***

No. 3
RbRuRh: optimized geometry, PBE.

Computed properties:
- Raw total energy: -5.2696 eV/atom
- Formation energy from the elements: 57 kJ/mol of atoms

Cell: 4.5903 4.5903 7.8016 Å, 90.00 90.00 90.00°
Positions (direct):
Rh 0.5000 0.0000 0.3857
Rh 0.0000 0.5000 0.6143
Ru 0.0000 0.0000 0.5000
Ru 0.5000 0.5000 0.5000
Rb 0.0000 0.5000 0.1514
Rb 0.5000 0.0000 0.8486

***

No. 4
SiTeBr2: optimized geometry, PBE.

Computed properties:
- Raw total energy: -2.5801 eV/atom
- E_form (uncorrected): 0.397 eV/atom

Cell: 8.2505 8.2505 8.2064 Å, 59.82 59.82 90.00°
Positions (direct):
Si 0.2500 0.7500 0.5000
Si 0.5000 0.5000 0.0000
Br 0.8750 0.6265 0.7500
Br 0.3750 0.6235 0.7500
Br 0.3735 0.6250 0.2500
Br 0.3765 0.1250 0.2500
Te 0.0000 0.0000 0.0000
Te 0.7500 0.2500 0.5000

***

No. 5
Co2TcAgN: optimized geometry, PBE.

Computed properties:
- Raw total energy: -6.9530 eV/atom
- E_form (uncorrected): 0.198 eV/atom

Cell: 3.9078 3.9078 3.9794 Å, 90.00 90.00 90.00°
Positions (direct):
Ag 0.5000 0.5000 0.5000
Co 0.0000 0.5000 0.0000
Co 0.5000 0.0000 0.0000
N 0.0000 0.0000 0.0000
Tc 0.0000 0.0000 0.5000

***

No. 6
Ta2BeCr: optimized geometry, PBE.

Computed properties:
- Raw total energy: -8.9552 eV/atom
- Formation energy from the elements: 30 kJ/mol of atoms

Cell: 4.3676 4.3676 4.3676 Å, 60.00 60.00 60.00°
Positions (direct):
Ta 0.0000 0.0000 0.0000
Ta 0.2500 0.2500 0.2500
Be 0.5000 0.5000 0.5000
Cr 0.7500 0.7500 0.7500

***

No. 7
PaZnIr: optimized geometry, PBE.

Computed properties:
- Raw total energy: -6.9288 eV/atom
- Formation energy from the elements: -37 kJ/mol of atoms

Cell: 4.5503 4.5503 4.5503 Å, 60.00 60.00 60.00°
Positions (direct):
Zn 0.0000 0.0000 0.0000
Pa 0.5000 0.5000 0.5000
Ir 0.2500 0.2500 0.2500

***

No. 8
K2LaTl6: optimized geometry, PBE.

Computed properties:
- Raw total energy: -2.5077 eV/atom
- Formation energy from the elements: -13 kJ/mol of atoms

Cell: 3.7418 9.4505 9.4505 Å, 59.99 90.00 90.00°
Positions (direct):
Tl 0.5001 0.6715 0.0001
Tl 0.5001 0.0001 0.6715
Tl 0.4999 0.9999 0.3285
Tl 0.5000 0.6714 0.3286
Tl 0.4999 0.3285 0.9999
Tl 0.5000 0.3286 0.6714
K 0.0000 0.3332 0.3332
K 0.0000 0.6668 0.6668
La 0.0000 0.0000 0.0000

***

No. 9
LiAl2Ni: optimized geometry, PBE.

Computed properties:
- Raw total energy: -3.9167 eV/atom
- Formation energy from the elements: -12 kJ/mol of atoms

Cell: 8.8011 8.8011 8.8011 Å, 18.14 18.14 18.14°
Positions (direct):
Ni 0.7466 0.7466 0.7466
Al 0.0084 0.0084 0.0084
Al 0.2521 0.2521 0.2521
Li 0.4929 0.4929 0.4929

***

No. 10
MgGeMoIr2: optimized geometry, PBE.

Computed properties:
- Raw total energy: -5.7068 eV/atom
- Formation energy from the elements: 120 kJ/mol of atoms

Cell: 4.7209 5.0017 4.7209 Å, 90.00 90.00 90.00°
Positions (direct):
Ir 0.5000 0.0000 0.0000
Ir 0.0000 0.0000 0.5000
Mo 0.0000 0.0000 0.0000
Mg 0.0000 0.5000 0.0000
Ge 0.5000 0.5000 0.5000

***

No. 11
Ce8U2O21: optimized geometry, PBE.

Computed properties:
- Raw total energy: -8.9300 eV/atom
- E_form (uncorrected): -3.312 eV/atom

Cell: 13.8757 13.8757 5.4466 Å, 90.00 90.00 157.36°
Positions (direct):
O 0.2858 0.1878 0.7368
O 0.2858 0.1878 0.2632
O 0.5000 0.0000 0.2503
O 0.4014 0.1023 0.7519
O 0.5986 0.8977 0.2481
O 0.0000 0.5000 0.7497
O 0.0000 0.5000 0.2503
O 0.8122 0.7142 0.7368
O 0.1023 0.4014 0.7519
O 0.8122 0.7142 0.2632
O 0.4014 0.1023 0.2481
O 0.1023 0.4014 0.2481
O 0.8977 0.5986 0.7519
O 0.5986 0.8977 0.7519
O 0.1878 0.2858 0.7368
O 0.5000 0.5000 0.0000
O 0.1878 0.2858 0.2632
O 0.8977 0.5986 0.2481
O 0.7142 0.8122 0.7368
O 0.5000 0.0000 0.7497
O 0.7142 0.8122 0.2632
Ce 0.5957 0.4043 0.0000
Ce 0.8973 0.1027 0.5000
Ce 0.1998 0.8002 0.0000
Ce 0.4043 0.5957 0.0000
Ce 0.3003 0.6997 0.5000
Ce 0.1027 0.8973 0.5000
Ce 0.8002 0.1998 0.0000
Ce 0.6997 0.3003 0.5000
U 0.0000 0.0000 0.0000
U 0.5000 0.5000 0.5000